Material: ZrTl2Pd
Method: DFT, GGA-PBE
State: relaxed

POSCAR file:
```
ZrTl2Pd
1.0
-3.9130 3.9130 3.0263
3.9130 -3.9130 3.0263
3.9130 3.9130 -3.0263
Zr Tl Pd
2 4 2
Direct
0.0000 0.0000 0.0000 Zr
0.7500 0.2500 0.5000 Zr
0.1505 0.6250 0.0255 Tl
0.3750 0.4005 0.5255 Tl
0.5995 0.1250 0.9745 Tl
0.8750 0.8495 0.4745 Tl
0.2500 0.7500 0.5000 Pd
0.5000 0.5000 0.0000 Pd
```

Output
DFT formation energy = 0.065 eV per atom